(1)
Entry from Alexandria: a geometry-optimized Th2NpN4 structure (PBE).

Computed properties:
Space-group type: Pbam (55)

a = 6.054 Å, b = 10.363 Å, c = 3.571 Å
α = 90.00°, β = 90.00°, γ = 90.00°
Atoms (fractional coordinates):
Th  0.056  0.172  0.000
Th  0.444  0.672  0.000
Th  0.556  0.328  0.000
Th  0.944  0.828  0.000
Np  0.000  0.500  0.500
Np  0.500  0.000  0.500
N  0.147  0.697  0.500
N  0.245  0.466  0.000
N  0.255  0.966  0.000
N  0.353  0.197  0.500
N  0.647  0.803  0.500
N  0.745  0.034  0.000
N  0.755  0.534  0.000
N  0.853  0.303  0.500



(2)
Entry from Alexandria: a geometry-optimized Th5NpN6 structure (PBE).

Computed properties:
Space-group type: C2/m (12)

a = 6.282 Å, b = 6.282 Å, c = 6.294 Å
α = 99.66°, β = 99.66°, γ = 119.96°
Atoms (fractional coordinates):
Th  0.000  0.000  0.000
Th  0.167  0.833  0.500
Th  0.333  0.667  0.000
Th  0.667  0.333  0.000
Th  0.833  0.167  0.500
Np  0.500  0.500  0.500
N  0.098  0.420  0.260
N  0.258  0.258  0.747
N  0.420  0.098  0.260
N  0.580  0.902  0.740
N  0.742  0.742  0.253
N  0.902  0.580  0.740



For each record above, in turn, the calculated formation energy without anion corrections values are -1.40, -1.47 eV/atom.
For each record above, in turn, the calculated total magnetization values are 2.59, 3.31 μB/f.u..
For each record above, in turn, the calculated total energy values are -10.13, -9.80 eV/atom.